Computed, not measured: a relaxed structure of In5As4 at the PBE level of DFT.

Lattice parameters (Å, degrees): 8.1415 8.1415 7.8064 90.00 90.00 120.00
With the nearest neighbours (Å) after each atom.
Element x y z (fractional)
As 0.0000 0.0000 0.0000  6 In 2.84
As 0.0000 0.0000 0.5000  6 In 2.84
As 0.0000 0.4152 0.2500  3 In 2.70-2.95
As 0.5848 0.5848 0.2500  3 In 2.70-2.95
As 0.4152 0.0000 0.2500  3 In 2.70-2.95
As 0.0000 0.5848 0.7500  3 In 2.70-2.95
As 0.4152 0.4152 0.7500  3 In 2.70-2.95
As 0.5848 0.0000 0.7500  3 In 2.70-2.95
In 0.0000 0.7470 0.2500  5 As 2.70-2.95
In 0.2530 0.2530 0.2500  5 As 2.70-2.95
In 0.7470 0.0000 0.2500  5 As 2.70-2.95
In 0.0000 0.2530 0.7500  5 As 2.70-2.95
In 0.7470 0.7470 0.7500  5 As 2.70-2.95
In 0.2530 0.0000 0.7500  5 As 2.70-2.95
In 0.6667 0.3333 0.0000  6 As 3.13
In 0.3333 0.6667 0.5000  6 As 3.13
In 0.3333 0.6667 0.0000  6 As 3.13
In 0.6667 0.3333 0.5000  6 As 3.13

The energy relative to the elements comes out at 0.041 eV/atom. The calculation puts the density of states at the Fermi level at 6.22 states/eV per cell. As for the total moment: 0.000 μB per atom. The calculation puts the energy above the lowest structure with this stoichiometry at 0.00 eV/f.u. The crystal system is hexagonal.

---

Computed, not measured: a relaxed structure of K2CuRe at the PBE level of DFT.

Lattice parameters (Å, degrees): 12.0929 12.0929 8.8852 47.12 47.12 90.00
With the nearest neighbours (Å) after each atom.
Element x y z (fractional)
Re 0.0000 0.0000 0.0000  2 Cu 2.41
Re 0.7500 0.2500 0.5000  2 Cu 2.41
K 0.4489 0.1250 0.2500  2 Cu 3.21
K 0.3011 0.6250 0.2500  2 Cu 3.21
K 0.3750 0.5511 0.7500  2 Cu 3.21
K 0.8750 0.6989 0.7500  2 Cu 3.21
Cu 0.5000 0.5000 0.0000  2 Re 2.41
Cu 0.2500 0.7500 0.5000  2 Re 2.41

The energy relative to the elements comes out at 1.425 eV/atom. The calculation puts the density of states at the Fermi level at 5.91 states/eV per cell. As for the total moment: 0.911 μB per atom. The calculation puts the energy above the lowest structure with this stoichiometry at 2.09 eV/f.u. The crystal system is tetragonal.

---

Computed, not measured: a relaxed structure of Sr3CeU2As6 at the PBE level of DFT.

Lattice parameters (Å, degrees): 7.4194 7.4194 7.5376 99.45 99.45 120.00
With the nearest neighbours (Å) after each atom.
Element x y z (fractional)
Sr 0.1649 0.8351 0.5000  6 As 3.15-3.22
Sr 0.8351 0.1649 0.5000  6 As 3.15-3.22
Sr 0.5000 0.5000 0.5000  6 As 3.14-3.21
Ce 0.0000 0.0000 0.0000  6 As 2.97
U 0.3330 0.6670 0.0000  6 As 2.89
U 0.6670 0.3330 0.0000  6 As 2.89
As 0.9274 0.5855 0.7828  2 U 2.89, 1 Ce 2.97, 3 Sr 3.15-3.22
As 0.7303 0.7303 0.2171  2 U 2.89, 1 Ce 2.97, 3 Sr 3.14-3.20
As 0.0726 0.4145 0.2172  2 U 2.89, 1 Ce 2.97, 3 Sr 3.15-3.22
As 0.5855 0.9274 0.7828  2 U 2.89, 1 Ce 2.97, 3 Sr 3.15-3.22
As 0.2697 0.2697 0.7829  2 U 2.89, 1 Ce 2.97, 3 Sr 3.14-3.20
As 0.4145 0.0726 0.2172  2 U 2.89, 1 Ce 2.97, 3 Sr 3.15-3.22

The energy relative to the elements comes out at -1.072 eV/atom. The calculation puts the density of states at the Fermi level at 18.50 states/eV per cell. As for the total moment: 0.335 μB per atom. The crystal system is monoclinic.

---

Computed, not measured: a relaxed structure of BaP2SCl at the PBE level of DFT.

Lattice parameters (Å, degrees): 6.5697 6.5697 5.8200 90.00 90.00 90.00
With the nearest neighbours (Å) after each atom.
Element x y z (fractional)
P 0.0000 0.5000 0.0000  2 Ba 3.28
P 0.5000 0.0000 0.0000  2 Ba 3.28
S 0.5000 0.5000 0.5000  8 P 4.39, 4 Cl 4.65
Ba 0.0000 0.0000 0.0000  2 Cl 2.91
Cl 0.0000 0.0000 0.5000  2 Ba 2.91

The raw formation energy comes out at 0.864 eV/atom. The calculation puts the density of states at the Fermi level at 8.30 states/eV per cell. As for the total moment: 0.614 μB per atom. The calculation puts the energy above the lowest structure with this stoichiometry at 6.31 eV/f.u. The crystal system is tetragonal.

---

Per-record raw total energy, eV per atom: -3.547; -3.260; -6.193; -2.879